Here is a relaxed structure of TaSb from Alexandria via LeMat-Bulk. Energies are from PBE.

Cell: 5.5843 5.5843 5.5843 Å, 142.45 128.36 65.58°
Fractional coordinates of all 4 atoms:
Ta (0.1214, 0.8714, 0.7500)
Ta (0.8786, 0.1286, 0.2500)
Sb (0.3610, 0.6110, 0.2500)
Sb (0.6390, 0.3890, 0.7500)

## Properties
- uncorrected formation energy (eV/atom) = 0.25



Here is a relaxed structure of TaSb from Alexandria via LeMat-Bulk. Energies are from PBE.

Cell: 12.1153 12.1153 3.3358 Å, 90.00 90.00 90.00°
Fractional coordinates of all 16 atoms:
Sb (0.4432, 0.7267, 0.0000)
Sb (0.5568, 0.2733, 0.0000)
Sb (0.2733, 0.4432, 0.0000)
Sb (0.7733, 0.9432, 0.5000)
Sb (0.0568, 0.7733, 0.5000)
Sb (0.9432, 0.2267, 0.5000)
Sb (0.2267, 0.0568, 0.5000)
Sb (0.7267, 0.5568, 0.0000)
Ta (0.1679, 0.2808, 0.5000)
Ta (0.7808, 0.3321, 0.0000)
Ta (0.8321, 0.7192, 0.5000)
Ta (0.7192, 0.1679, 0.5000)
Ta (0.2808, 0.8321, 0.5000)
Ta (0.3321, 0.2192, 0.0000)
Ta (0.6679, 0.7808, 0.0000)
Ta (0.2192, 0.6679, 0.0000)

## Properties
- uncorrected formation energy (eV/atom) = 0.55



Here is a relaxed structure of TaSb from Alexandria via LeMat-Bulk. Energies are from PBE.

Cell: 6.7547 5.3040 9.6268 Å, 90.00 90.00 90.00°
Fractional coordinates of all 16 atoms:
Ta (0.8818, 0.3895, 0.2462)
Ta (0.1182, 0.8895, 0.2538)
Ta (0.6010, 0.3450, 0.0133)
Ta (0.3818, 0.1105, 0.7538)
Ta (0.3990, 0.8450, 0.4867)
Ta (0.8990, 0.6550, 0.5133)
Ta (0.6182, 0.6105, 0.7462)
Ta (0.1010, 0.1550, 0.9867)
Sb (0.4444, 0.8462, 0.0076)
Sb (0.1923, 0.6012, 0.7233)
Sb (0.0556, 0.1538, 0.5075)
Sb (0.5556, 0.3462, 0.4924)
Sb (0.9444, 0.6538, 0.9924)
Sb (0.8077, 0.1012, 0.7767)
Sb (0.3077, 0.3988, 0.2233)
Sb (0.6923, 0.8988, 0.2767)

## Properties
- uncorrected formation energy (eV/atom) = 0.19



Here is a relaxed structure of TaSb3 from Alexandria via LeMat-Bulk. Energies are from PBE.

Cell: 3.0676 3.0676 11.5906 Å, 90.00 90.00 90.00°
Fractional coordinates of all 4 atoms:
Sb (0.0000, 0.0000, 0.5000)
Sb (0.5000, 0.5000, 0.8137)
Sb (0.5000, 0.5000, 0.1863)
Ta (0.0000, 0.0000, 0.0000)

## Properties
- polymorph energy (0 for the lowest one) (kJ/mol of formula units) = 66.7
- uncorrected formation energy (eV/atom) = 0.25



Here is a relaxed structure of TaSb2 from Alexandria via LeMat-Bulk. Energies are from PBE.

Cell: 5.7932 5.7932 5.7932 Å, 143.85 143.85 52.06°
Fractional coordinates of all 3 atoms:
Sb (0.1460, 0.1460, 0.0000)
Sb (0.8540, 0.8540, 0.0000)
Ta (0.5000, 0.5000, 0.0000)

## Properties
- uncorrected formation energy (eV/atom) = 0.15



Here is a relaxed structure of Ta6Sb7 from Alexandria via LeMat-Bulk. Energies are from PBE.

Cell: 10.8584 10.8584 10.8584 Å, 30.85 30.85 30.85°
Fractional coordinates of all 13 atoms:
Sb (0.0764, 0.5795, 0.5795)
Sb (0.5795, 0.5795, 0.0764)
Sb (0.9236, 0.4205, 0.4205)
Sb (0.4205, 0.9236, 0.4205)
Sb (0.5000, 0.5000, 0.5000)
Sb (0.5795, 0.0764, 0.5795)
Sb (0.4205, 0.4205, 0.9236)
Ta (0.1778, 0.1778, 0.1778)
Ta (0.9592, 0.9592, 0.9592)
Ta (0.3326, 0.3326, 0.3326)
Ta (0.8222, 0.8222, 0.8222)
Ta (0.6674, 0.6674, 0.6674)
Ta (0.0408, 0.0408, 0.0408)

## Properties
- uncorrected formation energy (eV/atom) = 0.82



Here is a relaxed structure of TaSb from Alexandria via LeMat-Bulk. Energies are from PBE.

Cell: 3.2615 4.8725 15.4109 Å, 90.00 90.00 90.00°
Fractional coordinates of all 12 atoms:
Sb (0.0000, 0.6096, 0.3337)
Sb (0.5000, 0.3904, 0.8337)
Sb (0.0000, 0.6096, 0.6663)
Sb (0.5000, 0.8286, 0.5000)
Sb (0.5000, 0.3904, 0.1663)
Sb (0.0000, 0.1714, 0.0000)
Ta (0.0000, 0.8892, 0.1678)
Ta (0.5000, 0.1108, 0.6678)
Ta (0.5000, 0.6827, 0.0000)
Ta (0.0000, 0.8892, 0.8322)
Ta (0.0000, 0.3173, 0.5000)
Ta (0.5000, 0.1108, 0.3322)

## Properties
- uncorrected formation energy (eV/atom) = 0.28



Here is a relaxed structure of Ta4Sb from Alexandria via LeMat-Bulk. Energies are from PBE.

Cell: 7.6479 7.6479 7.6479 Å, 150.90 150.90 41.62°
Fractional coordinates of all 5 atoms:
Ta (0.7500, 0.2500, 0.5000)
Ta (0.6018, 0.6018, 0.0000)
Ta (0.2500, 0.7500, 0.5000)
Ta (0.3982, 0.3982, 0.0000)
Sb (0.0000, 0.0000, 0.0000)

## Properties
- polymorph energy (0 for the lowest one) (kJ/mol of formula units) = 351.5
- uncorrected formation energy (eV/atom) = 0.72